1.
Entry from Alexandria: an optimized crystal structure of HoGa2Bi (PBE).

Properties
Formation energy ... -0.151 eV/atom
Energy relative to the lowest polymorph listed for this composition ... 244 meV per atom
Space-group type ... R-3m (166)
N(E_F) ... 4.171 states/eV/cell
M_tot ... 0.000 μB per cell

Cell: 5.153 5.153 5.153 Å, 60.75 60.75 60.75°
Fractional coordinates of all 4 atoms:
Ho  0.000  0.000  0.000
Ga  0.249  0.249  0.249
Ga  0.751  0.751  0.751
Bi  0.500  0.500  0.500



2.
Entry from Alexandria: an optimized crystal structure of Nb2PbF (PBE).

Properties
Energy relative to the lowest polymorph listed for this composition ... 0 meV per atom
Space-group type ... Fm-3m (225)
N(E_F) ... 5.046 states/eV/cell
M_tot ... 0.000 μB per cell

Cell: 4.685 4.685 4.685 Å, 60.00 60.00 60.00°
Fractional coordinates of all 4 atoms:
Nb  0.250  0.250  0.250
Nb  0.750  0.750  0.750
Pb  0.000  0.000  0.000
F  0.500  0.500  0.500